LaFe3 | PBE-GGA | optimized geometry

Computed properties:
The space group is P2/m (10). For the formation energy, the calculation gives 354 meV/atom.

```
LaFe3
1.0
3.017 0.000 0.000
0.000 4.090 0.000
-1.489 0.000 5.613
La Fe
1 3
Direct
0.000 0.000 0.000 La
0.302 0.500 0.668 Fe
0.500 0.000 0.500 Fe
0.698 0.500 0.332 Fe
```

---

SrZr2Ni | PBE-GGA | optimized geometry

Computed properties:
The space group is Imm2 (44). For the formation energy, the calculation gives 302 meV/atom. The value obtained for the energy above the lowest structure with this stoichiometry is 284.1 meV/atom.

```
SrZr2Ni
1.0
-1.762 2.530 5.415
1.762 -2.530 5.415
1.762 2.530 -5.415
Sr Zr Ni
1 2 1
Direct
0.000 0.000 0.000 Sr
0.291 0.791 0.500 Zr
0.613 0.613 0.000 Zr
0.771 0.271 0.500 Ni
```

---

SiNi2As | PBE-GGA | optimized geometry

Computed properties:
The space group is C2/m (12). The uncorrected formation energy comes out at -0.1772 eV/atom.

```
SiNi2As
1.0
3.724 -1.400 0.000
3.724 1.400 0.000
-1.130 0.000 4.991
Si Ni As
1 2 1
Direct
0.000 0.000 0.000 Si
0.258 0.258 0.782 Ni
0.742 0.742 0.218 Ni
0.500 0.500 0.500 As
```

---

HgSb2As | PBE-GGA | optimized geometry

Computed properties:
The space group is Pmmm (47). The uncorrected formation energy comes out at 0.3077 eV/atom. The value obtained for the energy above the lowest structure with this stoichiometry is 276.6 meV/atom.

```
HgSb2As
1.0
3.918 0.000 0.000
0.000 4.684 0.000
0.000 0.000 5.451
Hg Sb As
1 2 1
Direct
0.000 0.000 0.000 Hg
0.000 0.500 0.500 Sb
0.500 0.500 0.000 Sb
0.500 0.000 0.500 As
```